Record 1
Entry from Alexandria via LeMat-Bulk: crystalline MnTePb2 at its relaxed geometry (PBE-GGA).

a = 4.595 Å, b = 6.246 Å, c = 4.596 Å
α = 70.55°, β = 84.56°, γ = 109.45°
Each line ends with the local moment (μB).
Fractional coordinates of all 4 atoms:
Te 0.000 0.500 0.500  0.01
Pb 0.500 0.000 0.500  -0.04
Pb 0.000 0.000 0.000  -0.04
Mn 0.500 0.500 0.000  4.13

Values from the calculation:
Raw formation energy = 0.226 eV/atom
Calculated density = 8.7 Mg/m³
M_tot = 4.306 μB/cell

***

Record 2
Entry from Alexandria via LeMat-Bulk: crystalline ZnP2RhO at its relaxed geometry (PBE-GGA).

a = 4.825 Å, b = 4.825 Å, c = 3.682 Å
α = 90.00°, β = 90.00°, γ = 90.00°
Fractional coordinates of all 5 atoms:
O 0.000 0.000 0.500
Rh 0.000 0.000 0.000
Zn 0.500 0.500 0.500
P 0.500 0.000 0.000
P 0.000 0.500 0.000

Values from the calculation:
Relative energy among the computed polymorphs = 0 meV per atom
Raw formation energy = 0.321 eV/atom
Calculated density = 4.8 Mg/m³
M_tot = 0.000 μB/cell

***

Record 3
Entry from Alexandria via LeMat-Bulk: crystalline Pm2Ho2Hg7 at its relaxed geometry (PBE-GGA).

a = 6.799 Å, b = 7.487 Å, c = 6.799 Å
α = 90.00°, β = 103.08°, γ = 90.00°
Fractional coordinates of all 11 atoms:
Hg 0.500 0.298 0.000
Hg 0.000 0.298 0.500
Hg 0.500 0.292 0.500
Hg 0.500 0.708 0.500
Hg 0.000 0.000 0.000
Hg 0.500 0.702 0.000
Hg 0.000 0.702 0.500
Ho 0.802 0.500 0.802
Ho 0.198 0.500 0.198
Pm 0.298 0.000 0.702
Pm 0.702 0.000 0.298

Values from the calculation:
DFT formation energy = -0.09 eV/atom
Calculated density = 10.0 Mg/m³
M_tot = 0.000 μB/cell

***

Record 4
Entry from Alexandria via LeMat-Bulk: crystalline Ba2In12Hg at its relaxed geometry (PBE-GGA).

a = 7.119 Å, b = 7.119 Å, c = 17.852 Å
α = 90.00°, β = 90.00°, γ = 90.00°
Fractional coordinates of all 30 atoms:
Ba 0.500 0.000 0.752
Ba 0.500 0.000 0.248
Ba 0.000 0.500 0.752
Ba 0.000 0.500 0.248
In 0.000 0.000 0.347
In 0.330 0.830 0.432
In 0.830 0.670 0.432
In 0.250 0.250 0.910
In 0.500 0.500 0.184
In 0.670 0.170 0.432
In 0.250 0.750 0.910
In 0.750 0.250 0.090
In 0.670 0.830 0.568
In 0.500 0.500 0.653
In 0.170 0.330 0.432
In 0.500 0.500 0.347
In 0.750 0.750 0.910
In 0.750 0.750 0.090
In 0.250 0.250 0.090
In 0.000 0.000 0.816
In 0.750 0.250 0.910
In 0.000 0.000 0.653
In 0.170 0.670 0.568
In 0.000 0.000 0.184
In 0.830 0.330 0.568
In 0.330 0.170 0.568
In 0.250 0.750 0.090
In 0.500 0.500 0.816
Hg 0.500 0.000 0.000
Hg 0.000 0.500 0.000

Values from the calculation:
DFT formation energy = -0.21 eV/atom
Calculated density = 6.8 Mg/m³
M_tot = 0.000 μB/cell

***

Number 1: volume 114.1 Å³ per cell. Number 2: volume 85.7 Å³ per cell. Number 3: volume 337.1 Å³ per cell. Number 4: volume 904.9 Å³ per cell.